a.
# PBE-GGA AlSiO2, optimized geometry
# magnetic moment	0.000	μB/atom
# DOS(E_F)	1.62	states/eV per cell
data_AlSiO2
_cell_length_a 4.994
_cell_length_b 4.994
_cell_length_c 5.530
_cell_angle_alpha 63.16
_cell_angle_beta 63.16
_cell_angle_gamma 90.00
_symmetry_space_group_name_H-M 'P 1'
_symmetry_Int_Tables_number 1
loop_
_symmetry_equiv_pos_as_xyz
'x,y,z'
loop_
_atom_site_label
_atom_site_type_symbol
_atom_site_fract_x
_atom_site_fract_y
_atom_site_fract_z
_atom_site_occupancy
Si1 Si 0.000 0.000 0.000 1
Si2 Si 0.750 0.250 0.500 1
Al1 Al 0.500 0.500 0.000 1
Al2 Al 0.250 0.750 0.500 1
O1 O 0.510 0.125 0.250 1
O2 O 0.240 0.625 0.250 1
O3 O 0.375 0.490 0.750 1
O4 O 0.875 0.760 0.750 1

b.
# PBE-GGA AlSiO2, optimized geometry
# magnetic moment	0.000	μB/atom
# DOS(E_F)	0.84	states/eV per cell
data_AlSiO2
_cell_length_a 2.699
_cell_length_b 2.699
_cell_length_c 10.355
_cell_angle_alpha 82.51
_cell_angle_beta 82.51
_cell_angle_gamma 60.00
_symmetry_space_group_name_H-M 'P 1'
_symmetry_Int_Tables_number 1
loop_
_symmetry_equiv_pos_as_xyz
'x,y,z'
loop_
_atom_site_label
_atom_site_type_symbol
_atom_site_fract_x
_atom_site_fract_y
_atom_site_fract_z
_atom_site_occupancy
Si1 Si 0.500 0.500 0.500 1
Al1 Al 0.000 0.000 0.000 1
O1 O 0.137 0.137 0.589 1
O2 O 0.863 0.863 0.411 1

Most stable to least stable: b, a

a.
# PBE-GGA Al2Si2O9, optimized geometry
# magnetic moment	0.308	μB/atom
# DOS(E_F)	0.02	states/eV per cell
data_Al2Si2O9
_cell_length_a 5.192
_cell_length_b 5.195
_cell_length_c 7.950
_cell_angle_alpha 84.13
_cell_angle_beta 105.07
_cell_angle_gamma 119.68
_symmetry_space_group_name_H-M 'P 1'
_symmetry_Int_Tables_number 1
loop_
_symmetry_equiv_pos_as_xyz
'x,y,z'
loop_
_atom_site_label
_atom_site_type_symbol
_atom_site_fract_x
_atom_site_fract_y
_atom_site_fract_z
_atom_site_occupancy
Si1 Si 0.378 0.660 0.071 1
Si2 Si 0.719 0.318 0.070 1
Al1 Al 0.831 0.004 0.432 1
Al2 Al 0.196 0.639 0.432 1
O1 O 0.459 0.702 0.286 1
O2 O 0.841 0.321 0.285 1
O3 O 0.568 0.983 0.993 1
O4 O 0.469 0.430 0.017 1
O5 O 0.014 0.538 0.992 1
O6 O 0.099 0.940 0.342 1
O7 O 0.177 0.317 0.571 1
O8 O 0.560 0.935 0.570 1
O9 O 0.936 0.700 0.551 1

b.
# PBE-GGA Al2Si2O9, optimized geometry
# magnetic moment	0.154	μB/atom
# DOS(E_F)	6.52	states/eV per cell
data_Al2Si2O9
_cell_length_a 5.323
_cell_length_b 8.110
_cell_length_c 9.169
_cell_angle_alpha 104.30
_cell_angle_beta 89.95
_cell_angle_gamma 106.69
_symmetry_space_group_name_H-M 'P 1'
_symmetry_Int_Tables_number 1
loop_
_symmetry_equiv_pos_as_xyz
'x,y,z'
loop_
_atom_site_label
_atom_site_type_symbol
_atom_site_fract_x
_atom_site_fract_y
_atom_site_fract_z
_atom_site_occupancy
Al1 Al 0.724 0.587 0.493 1
Al2 Al 0.689 0.620 0.139 1
Al3 Al 0.112 0.593 0.953 1
Al4 Al 0.136 0.551 0.645 1
Si1 Si 0.984 0.953 0.713 1
Si2 Si 0.955 0.927 0.377 1
Si3 Si 0.458 0.916 0.194 1
Si4 Si 0.463 0.946 0.874 1
O1 O 0.931 0.735 0.655 1
O2 O 0.809 0.703 0.340 1
O3 O 0.981 0.017 0.556 1
O4 O 0.755 0.003 0.814 1
O5 O 0.747 0.988 0.288 1
O6 O 0.398 0.692 0.119 1
O7 O 0.328 0.730 0.830 1
O8 O 0.478 0.014 0.059 1
O9 O 0.244 0.962 0.311 1
O10 O 0.273 0.040 0.805 1
O11 O 0.921 0.740 0.033 1
O12 O 0.058 0.424 0.782 1
O13 O 0.906 0.436 0.480 1
O14 O 0.844 0.462 0.049 1
O15 O 0.401 0.642 0.518 1
O16 O 0.402 0.377 0.209 1
O17 O 0.159 0.322 0.202 1
O18 O 0.413 0.468 0.553 1

Most stable to least stable: b, a

a.
# PBE-GGA SrAl2Si2O8, optimized geometry
# magnetic moment	0.077	μB/atom
data_SrAl2Si2O8
_cell_length_a 10.068
_cell_length_b 9.752
_cell_length_c 9.752
_cell_angle_alpha 71.30
_cell_angle_beta 75.83
_cell_angle_gamma 75.83
_symmetry_space_group_name_H-M 'P 1'
_symmetry_Int_Tables_number 1
loop_
_symmetry_equiv_pos_as_xyz
'x,y,z'
loop_
_atom_site_label
_atom_site_type_symbol
_atom_site_fract_x
_atom_site_fract_y
_atom_site_fract_z
_atom_site_occupancy
Sr1 Sr 0.262 0.087 0.337 1
Sr2 Sr 0.738 0.913 0.663 1
Sr3 Sr 0.238 0.663 0.913 1
Sr4 Sr 0.762 0.337 0.087 1
Al1 Al 0.100 0.080 0.080 1
Al2 Al 0.813 0.673 0.459 1
Al3 Al 0.400 0.920 0.920 1
Al4 Al 0.313 0.459 0.673 1
Al5 Al 0.600 0.080 0.080 1
Al6 Al 0.187 0.327 0.541 1
Al7 Al 0.900 0.920 0.920 1
Al8 Al 0.687 0.541 0.327 1
Si1 Si 0.338 0.233 0.982 1
Si2 Si 0.662 0.767 0.018 1
Si3 Si 0.020 0.459 0.258 1
Si4 Si 0.980 0.541 0.742 1
Si5 Si 0.162 0.018 0.767 1
Si6 Si 0.838 0.982 0.233 1
Si7 Si 0.480 0.742 0.541 1
Si8 Si 0.520 0.258 0.459 1
O1 O 0.873 0.621 0.623 1
O2 O 0.100 0.099 0.897 1
O3 O 0.366 0.348 0.544 1
O4 O 0.627 0.377 0.379 1
O5 O 0.418 0.887 0.430 1
O6 O 0.328 0.395 0.859 1
O7 O 0.134 0.456 0.652 1
O8 O 0.299 0.822 0.086 1
O9 O 0.600 0.897 0.099 1
O10 O 0.441 0.207 0.101 1
O11 O 0.634 0.652 0.456 1
O12 O 0.686 0.088 0.216 1
O13 O 0.373 0.623 0.621 1
O14 O 0.059 0.899 0.793 1
O15 O 0.172 0.141 0.605 1
O16 O 0.186 0.216 0.088 1
O17 O 0.582 0.113 0.570 1
O18 O 0.866 0.544 0.348 1
O19 O 0.828 0.859 0.395 1
O20 O 0.127 0.379 0.377 1
O21 O 0.559 0.793 0.899 1
O22 O 0.400 0.103 0.901 1
O23 O 0.814 0.784 0.912 1
O24 O 0.314 0.912 0.784 1
O25 O 0.082 0.570 0.113 1
O26 O 0.900 0.901 0.103 1
O27 O 0.672 0.605 0.141 1
O28 O 0.799 0.086 0.822 1
O29 O 0.701 0.178 0.914 1
O30 O 0.918 0.430 0.887 1
O31 O 0.941 0.101 0.207 1
O32 O 0.201 0.914 0.178 1

b.
# PBE-GGA SrAl2Si2O8, optimized geometry
# magnetic moment	0.077	μB/atom
data_SrAl2Si2O8
_cell_length_a 9.501
_cell_length_b 9.501
_cell_length_c 9.670
_cell_angle_alpha 79.43
_cell_angle_beta 79.43
_cell_angle_gamma 69.90
_symmetry_space_group_name_H-M 'P 1'
_symmetry_Int_Tables_number 1
loop_
_symmetry_equiv_pos_as_xyz
'x,y,z'
loop_
_atom_site_label
_atom_site_type_symbol
_atom_site_fract_x
_atom_site_fract_y
_atom_site_fract_z
_atom_site_occupancy
Sr1 Sr 0.927 0.657 0.785 1
Sr2 Sr 0.073 0.343 0.215 1
Sr3 Sr 0.343 0.073 0.715 1
Sr4 Sr 0.657 0.927 0.285 1
Al1 Al 0.857 0.982 0.892 1
Al2 Al 0.265 0.523 0.953 1
Al3 Al 0.018 0.143 0.608 1
Al4 Al 0.523 0.265 0.453 1
Al5 Al 0.982 0.857 0.392 1
Al6 Al 0.735 0.477 0.047 1
Al7 Al 0.143 0.018 0.108 1
Al8 Al 0.477 0.735 0.547 1
Si1 Si 0.756 0.011 0.622 1
Si2 Si 0.244 0.989 0.378 1
Si3 Si 0.499 0.725 0.872 1
Si4 Si 0.501 0.275 0.128 1
Si5 Si 0.989 0.244 0.878 1
Si6 Si 0.011 0.756 0.122 1
Si7 Si 0.275 0.501 0.628 1
Si8 Si 0.725 0.499 0.372 1
O1 O 0.333 0.357 0.076 1
O2 O 0.865 0.156 0.907 1
O3 O 0.621 0.392 0.415 1
O4 O 0.643 0.667 0.424 1
O5 O 0.214 0.485 0.800 1
O6 O 0.598 0.083 0.551 1
O7 O 0.608 0.379 0.085 1
O8 O 0.126 0.964 0.704 1
O9 O 0.156 0.865 0.407 1
O10 O 0.857 0.852 0.553 1
O11 O 0.379 0.608 0.585 1
O12 O 0.962 0.725 0.295 1
O13 O 0.357 0.333 0.576 1
O14 O 0.148 0.143 0.947 1
O15 O 0.917 0.402 0.949 1
O16 O 0.725 0.962 0.795 1
O17 O 0.786 0.515 0.200 1
O18 O 0.392 0.621 0.915 1
O19 O 0.083 0.598 0.051 1
O20 O 0.667 0.643 0.924 1
O21 O 0.143 0.148 0.447 1
O22 O 0.844 0.135 0.593 1
O23 O 0.275 0.038 0.205 1
O24 O 0.038 0.275 0.705 1
O25 O 0.515 0.786 0.700 1
O26 O 0.135 0.844 0.093 1
O27 O 0.402 0.917 0.449 1
O28 O 0.964 0.126 0.204 1
O29 O 0.874 0.036 0.296 1
O30 O 0.485 0.214 0.300 1
O31 O 0.852 0.857 0.053 1
O32 O 0.036 0.874 0.796 1

Most stable to least stable: b, a

a.
# PBE-GGA AlTlSiO4, optimized geometry
# magnetic moment	0.000	μB/atom
# DOS(E_F)	0.00	states/eV per cell
data_AlTlSiO4
_cell_length_a 5.459
_cell_length_b 8.455
_cell_length_c 9.597
_cell_angle_alpha 90.00
_cell_angle_beta 90.00
_cell_angle_gamma 89.98
_symmetry_space_group_name_H-M 'P 1'
_symmetry_Int_Tables_number 1
loop_
_symmetry_equiv_pos_as_xyz
'x,y,z'
loop_
_atom_site_label
_atom_site_type_symbol
_atom_site_fract_x
_atom_site_fract_y
_atom_site_fract_z
_atom_site_occupancy
Al1 Al 0.750 0.313 0.409 1
Al2 Al 0.250 0.187 0.909 1
Al3 Al 0.250 0.687 0.591 1
Al4 Al 0.750 0.813 0.091 1
O1 O 0.750 0.016 0.069 1
O2 O 0.250 0.484 0.569 1
O3 O 0.250 0.984 0.931 1
O4 O 0.750 0.516 0.431 1
O5 O 0.750 0.274 0.231 1
O6 O 0.250 0.226 0.731 1
O7 O 0.250 0.726 0.769 1
O8 O 0.750 0.774 0.269 1
O9 O 0.993 0.278 0.990 1
O10 O 0.007 0.222 0.490 1
O11 O 0.007 0.722 0.010 1
O12 O 0.993 0.778 0.510 1
O13 O 0.507 0.278 0.990 1
O14 O 0.493 0.222 0.490 1
O15 O 0.493 0.722 0.010 1
O16 O 0.507 0.778 0.510 1
Si1 Si 0.750 0.206 0.072 1
Si2 Si 0.250 0.294 0.572 1
Si3 Si 0.250 0.794 0.928 1
Si4 Si 0.750 0.706 0.428 1
Tl1 Tl 0.250 0.488 0.178 1
Tl2 Tl 0.750 0.012 0.678 1
Tl3 Tl 0.750 0.512 0.822 1
Tl4 Tl 0.250 0.988 0.322 1

b.
# PBE-GGA AlTlSiO4, optimized geometry
# magnetic moment	0.000	μB/atom
# DOS(E_F)	0.00	states/eV per cell
data_AlTlSiO4
_cell_length_a 5.562
_cell_length_b 7.402
_cell_length_c 9.074
_cell_angle_alpha 90.00
_cell_angle_beta 90.00
_cell_angle_gamma 90.00
_symmetry_space_group_name_H-M 'P 1'
_symmetry_Int_Tables_number 1
loop_
_symmetry_equiv_pos_as_xyz
'x,y,z'
loop_
_atom_site_label
_atom_site_type_symbol
_atom_site_fract_x
_atom_site_fract_y
_atom_site_fract_z
_atom_site_occupancy
Al1 Al 0.250 0.999 0.569 1
Al2 Al 0.250 0.501 0.069 1
Al3 Al 0.750 0.499 0.931 1
Al4 Al 0.750 0.001 0.431 1
Tl1 Tl 0.250 0.636 0.753 1
Tl2 Tl 0.750 0.136 0.747 1
Tl3 Tl 0.750 0.364 0.247 1
Tl4 Tl 0.250 0.864 0.253 1
Si1 Si 0.750 0.814 0.084 1
Si2 Si 0.750 0.686 0.584 1
Si3 Si 0.250 0.314 0.416 1
Si4 Si 0.250 0.186 0.916 1
O1 O 0.032 0.147 0.442 1
O2 O 0.250 0.104 0.748 1
O3 O 0.750 0.604 0.752 1
O4 O 0.750 0.548 0.453 1
O5 O 0.250 0.048 0.047 1
O6 O 0.968 0.647 0.058 1
O7 O 0.468 0.353 0.942 1
O8 O 0.468 0.147 0.442 1
O9 O 0.250 0.396 0.248 1
O10 O 0.750 0.952 0.953 1
O11 O 0.250 0.452 0.547 1
O12 O 0.532 0.647 0.058 1
O13 O 0.532 0.853 0.558 1
O14 O 0.032 0.353 0.942 1
O15 O 0.750 0.896 0.252 1
O16 O 0.968 0.853 0.558 1

c.
# PBE-GGA AlTlSiO4, optimized geometry
# magnetic moment	0.000	μB/atom
# DOS(E_F)	0.00	states/eV per cell
data_AlTlSiO4
_cell_length_a 15.503
_cell_length_b 5.186
_cell_length_c 7.697
_cell_angle_alpha 52.11
_cell_angle_beta 90.00
_cell_angle_gamma 90.00
_symmetry_space_group_name_H-M 'P 1'
_symmetry_Int_Tables_number 1
loop_
_symmetry_equiv_pos_as_xyz
'x,y,z'
loop_
_atom_site_label
_atom_site_type_symbol
_atom_site_fract_x
_atom_site_fract_y
_atom_site_fract_z
_atom_site_occupancy
Al1 Al 0.469 0.723 0.030 1
Al2 Al 0.969 0.277 0.470 1
Al3 Al 0.031 0.723 0.530 1
Al4 Al 0.531 0.277 0.970 1
Tl1 Tl 0.832 0.475 0.203 1
Tl2 Tl 0.668 0.475 0.703 1
Tl3 Tl 0.168 0.525 0.797 1
Tl4 Tl 0.332 0.525 0.297 1
Si1 Si 0.874 0.534 0.727 1
Si2 Si 0.374 0.466 0.773 1
Si3 Si 0.626 0.534 0.227 1
Si4 Si 0.126 0.466 0.273 1
O1 O 0.555 0.846 0.140 1
O2 O 0.705 0.674 0.054 1
O3 O 0.795 0.674 0.554 1
O4 O 0.352 0.689 0.518 1
O5 O 0.148 0.689 0.018 1
O6 O 0.950 0.373 0.656 1
O7 O 0.055 0.154 0.360 1
O8 O 0.550 0.373 0.156 1
O9 O 0.205 0.326 0.446 1
O10 O 0.852 0.311 0.982 1
O11 O 0.648 0.311 0.482 1
O12 O 0.945 0.846 0.640 1
O13 O 0.450 0.627 0.844 1
O14 O 0.050 0.627 0.344 1
O15 O 0.295 0.326 0.946 1
O16 O 0.445 0.154 0.860 1

Most stable to least stable: a, b, c

a.
# PBE-GGA AlSn3O, optimized geometry
# magnetic moment	0.000	μB/atom
# DOS(E_F)	2.62	states/eV per cell
data_AlSn3O
_cell_length_a 4.833
_cell_length_b 4.833
_cell_length_c 4.833
_cell_angle_alpha 90.00
_cell_angle_beta 90.00
_cell_angle_gamma 90.00
_symmetry_space_group_name_H-M 'P 1'
_symmetry_Int_Tables_number 1
loop_
_symmetry_equiv_pos_as_xyz
'x,y,z'
loop_
_atom_site_label
_atom_site_type_symbol
_atom_site_fract_x
_atom_site_fract_y
_atom_site_fract_z
_atom_site_occupancy
Sn1 Sn 0.000 0.500 0.000 1
Sn2 Sn 0.000 0.000 0.500 1
Sn3 Sn 0.500 0.000 0.000 1
O1 O 0.000 0.000 0.000 1
Al1 Al 0.500 0.500 0.500 1

b.
# PBE-GGA AlSn3O, optimized geometry
# magnetic moment	0.000	μB/atom
# DOS(E_F)	2.87	states/eV per cell
data_AlSn3O
_cell_length_a 5.224
_cell_length_b 5.224
_cell_length_c 5.224
_cell_angle_alpha 90.00
_cell_angle_beta 90.00
_cell_angle_gamma 90.00
_symmetry_space_group_name_H-M 'P 1'
_symmetry_Int_Tables_number 1
loop_
_symmetry_equiv_pos_as_xyz
'x,y,z'
loop_
_atom_site_label
_atom_site_type_symbol
_atom_site_fract_x
_atom_site_fract_y
_atom_site_fract_z
_atom_site_occupancy
Sn1 Sn 0.000 0.500 0.000 1
Sn2 Sn 0.000 0.000 0.500 1
Sn3 Sn 0.500 0.000 0.000 1
O1 O 0.500 0.500 0.500 1
Al1 Al 0.000 0.000 0.000 1

Most stable to least stable: a, b